This record from Alexandria via LeMat-Bulk describes crystalline CaCdAg at its relaxed geometry. The functional is PBE.

Structure (POSCAR):
```
CaCdAg
1.0
-2.713 2.354 3.340
-0.152 -1.627 4.625
2.182 2.557 3.572
Ca Ag Cd
1 1 1
Cartesian
0.000 0.000 0.000
-0.513 2.462 8.653
-0.342 1.641 5.769
```

Properties
- ΔH_f (0 K) (meV/atom) = -200